Nd2HoAl7Cu2 after structural relaxation, computed with PBE.

Energy in eV/atom: -4.4450

Unit cell a=5.5647 b=5.5647 c=25.7567 alpha=90.00 beta=90.00 gamma=120.00
Space group R-3m (No. 166, hexagonal axes)
Unique sites:
Nd (0.0000, 0.0000, 0.1416) [6 per cell]
Ho (0.0000, 0.0000, 0.0000) [3 per cell]
Al (0.0000, 0.0000, 0.5000) [3 per cell]
Al (0.0057, 0.5029, 0.9227) [18 per cell]
Cu (0.0000, 0.0000, 0.3354) [6 per cell]


Ho3Al3CuNi2 after structural relaxation, computed with PBE.

Energy in eV/atom: -4.9814

Unit cell a=6.9300 b=6.9300 c=3.9091 alpha=90.00 beta=90.00 gamma=120.00
Space group P-62m (No. 189)
Unique sites:
Ho (0.0000, 0.4191, 0.0000) [3 per cell]
Al (0.0000, 0.7590, 0.5000) [3 per cell]
Cu (0.0000, 0.0000, 0.0000) [1 per cell]
Ni (0.3333, 0.6667, 0.5000) [2 per cell]


PrHo2Al3Cu2Ni after structural relaxation, computed with PBE.

Energy in eV/atom: -4.7151

Unit cell a=4.065 b=12.062 c=7.090 alpha=90.00 beta=90.00 gamma=90.00
Space group Amm2 (No. 38)
Unique sites:
Pr (0.000, 0.000, 0.000) [2 per cell]
Ho (0.000, 0.206, 0.618) [4 per cell]
Al (0.500, 0.000, 0.641) [2 per cell]
Al (0.500, 0.116, 0.303) [4 per cell]
Cu (0.500, 0.173, 0.911) [4 per cell]
Ni (0.000, 0.000, 0.422) [2 per cell]


HoSc2Al3Cu2Ni after structural relaxation, computed with PBE.

Energy in eV/atom: -5.1214

Unit cell a=3.829 b=11.828 c=6.839 alpha=90.00 beta=90.00 gamma=90.00
Space group Amm2 (No. 38)
Unique sites:
Ho (0.000, 0.000, 0.000) [2 per cell]
Sc (0.000, 0.204, 0.385) [4 per cell]
Al (0.500, 0.000, 0.352) [2 per cell]
Al (0.500, 0.121, 0.704) [4 per cell]
Cu (0.500, 0.171, 0.089) [4 per cell]
Ni (0.000, 0.000, 0.581) [2 per cell]


HoTm2Al3Cu2Ni after structural relaxation, computed with PBE.

Energy in eV/atom: -4.7186

Unit cell a=3.973 b=12.000 c=6.932 alpha=90.00 beta=90.00 gamma=90.00
Space group Amm2 (No. 38)
Unique sites:
Ho (0.000, 0.000, 0.000) [2 per cell]
Tm (0.000, 0.205, 0.384) [4 per cell]
Al (0.500, 0.000, 0.357) [2 per cell]
Al (0.500, 0.116, 0.704) [4 per cell]
Cu (0.500, 0.168, 0.089) [4 per cell]
Ni (0.000, 0.000, 0.587) [2 per cell]


Ho2TmAl3Cu2Ni after structural relaxation, computed with PBE.

Energy in eV/atom: -4.7263

Unit cell a=3.983 b=12.022 c=6.938 alpha=90.00 beta=90.00 gamma=90.00
Space group Amm2 (No. 38)
Unique sites:
Ho (0.000, 0.206, 0.000) [4 per cell]
Tm (0.000, 0.000, 0.384) [2 per cell]
Al (0.500, 0.000, 0.026) [2 per cell]
Al (0.500, 0.116, 0.678) [4 per cell]
Cu (0.500, 0.165, 0.295) [4 per cell]
Ni (0.000, 0.000, 0.792) [2 per cell]


HoTm2Al3CuNi2 after structural relaxation, computed with PBE.

Energy in eV/atom: -4.9640

Unit cell a=3.763 b=12.210 c=7.047 alpha=90.00 beta=90.00 gamma=90.00
Space group Amm2 (No. 38)
Unique sites:
Ho (0.000, 0.000, 0.000) [2 per cell]
Tm (0.000, 0.209, 0.626) [4 per cell]
Al (0.500, 0.000, 0.662) [2 per cell]
Al (0.500, 0.123, 0.295) [4 per cell]
Cu (0.000, 0.000, 0.418) [2 per cell]
Ni (0.500, 0.168, 0.917) [4 per cell]


Ho2TmAl3CuNi2 after structural relaxation, computed with PBE.

Energy in eV/atom: -4.9748

Unit cell a=3.924 b=11.980 c=6.918 alpha=90.00 beta=90.00 gamma=90.00
Space group Amm2 (No. 38)
Unique sites:
Ho (0.000, 0.209, 0.000) [4 per cell]
Tm (0.000, 0.000, 0.373) [2 per cell]
Al (0.500, 0.000, 0.032) [2 per cell]
Al (0.500, 0.120, 0.669) [4 per cell]
Cu (0.000, 0.000, 0.789) [2 per cell]
Ni (0.500, 0.166, 0.291) [4 per cell]